[1]
First-principles (PBE-GGA) data for a relaxed structure of KMg2TcIr, as listed in Alexandria.

The structure belongs to space group P4/mmm (No. 123); the cell edges are 5.006, 5.006 and 5.718 Å and the angles 90.00°, 90.00° and 90.00°. The inequivalent atoms are K at (0.000, 0.000, 0.000), Mg at (0.000, 0.500, 0.500), Tc at (0.500, 0.500, 0.000) and Ir at (0.000, 0.000, 0.500).

The value obtained for the calculated total energy is -17.3 eV for the cell shown. For the total magnetization, the calculation gives 4.07 μB/cell. Its crystal system is tetragonal. Its formation energy is 1.25 eV per atom.

***

[2]
First-principles (PBE-GGA) data for a relaxed structure of KMg2TlIr, as listed in Alexandria.

The structure belongs to space group P4/mmm (No. 123); the cell edges are 5.145, 5.145 and 5.309 Å and the angles 90.00°, 90.00° and 90.00°. The inequivalent atoms are K at (0.000, 0.000, 0.000), Mg at (0.000, 0.500, 0.500), Tl at (0.500, 0.500, 0.000) and Ir at (0.500, 0.500, 0.500).

The value obtained for the calculated total energy is -16.1 eV for the cell shown. For the total magnetization, the calculation gives 0.00 μB/cell. Its crystal system is tetragonal. Its formation energy is -0.13 eV per atom.

***

[3]
First-principles (PBE-GGA) data for a relaxed structure of KMgTl2Ir, as listed in Alexandria.

The structure belongs to space group P4/mmm (No. 123); the cell edges are 5.332, 5.332 and 5.174 Å and the angles 90.00°, 90.00° and 90.00°. The inequivalent atoms are K at (0.000, 0.000, 0.000), Mg at (0.500, 0.500, 0.000), Tl at (0.000, 0.500, 0.500) and Ir at (0.500, 0.500, 0.500).

The value obtained for the calculated total energy is -16.6 eV for the cell shown. For the total magnetization, the calculation gives 0.00 μB/cell. Its crystal system is tetragonal. Its formation energy is -0.07 eV per atom.

***

[4]
First-principles (PBE-GGA) data for a relaxed structure of KMnIr2, as listed in Alexandria.

The structure belongs to space group Pmm2 (No. 25); the cell edges are 2.790, 3.782 and 7.772 Å and the angles 90.00°, 90.00° and 90.00°. The inequivalent atoms are K at (0.000, 0.000, 0.000), Mn at (0.500, 0.500, 0.359), Ir at (0.000, 0.000, 0.517) and Ir at (0.500, 0.500, 0.684).

The value obtained for the calculated total energy is -26.0 eV for the cell shown. For the total magnetization, the calculation gives 3.47 μB/cell. Its crystal system is orthorhombic. Its formation energy is 0.50 eV per atom.

***

[5]
First-principles (PBE-GGA) data for a relaxed structure of KMnIr2, as listed in Alexandria.

The structure belongs to space group R3m (No. 160, hexagonal axes); the cell edges are 2.8184, 2.8184 and 30.5537 Å and the angles 90.00°, 90.00° and 120.00°. The inequivalent atoms are K at (0.0000, 0.0000, 0.0000), Mn at (0.0000, 0.0000, 0.7682), Ir at (0.0000, 0.0000, 0.2412) and Ir at (0.0000, 0.0000, 0.5015).

The value obtained for the calculated total energy is -76.2 eV for the cell shown. For the total magnetization, the calculation gives 9.60 μB/cell. Its crystal system is trigonal. Its formation energy is 0.65 eV per atom.

***

[6]
First-principles (PBE-GGA) data for a relaxed structure of KMnIr2, as listed in Alexandria.

The structure belongs to space group Fm-3m (No. 225); the cell edges are 6.484, 6.484 and 6.484 Å and the angles 90.00°, 90.00° and 90.00°. The inequivalent atoms are K at (0.000, 0.000, 0.000), Mn at (0.000, 0.000, 0.500) and Ir at (0.250, 0.250, 0.250).

The value obtained for the calculated total energy is -94.0 eV for the cell shown. For the total magnetization, the calculation gives 15.55 μB/cell. Its crystal system is cubic. Its formation energy is 1.12 eV per atom.